Record 1
Below is a relaxed Ac3CuS5 crystal, with properties calculated at the PBE level.

Geometry as POSCAR:
```
Ac3CuS5
1.0
-4.021 4.021 6.697
4.021 -4.021 6.697
4.021 4.021 -6.697
Ac Cu S
6 2 10
Direct
0.157 0.657 0.814
0.250 0.250 0.000
0.343 0.157 0.500
0.657 0.843 0.500
0.750 0.750 0.000
0.843 0.343 0.186
0.250 0.750 0.500
0.750 0.250 0.500
0.000 0.000 0.000
0.014 0.195 0.500
0.195 0.695 0.182
0.305 0.486 0.500
0.486 0.986 0.182
0.500 0.500 0.000
0.514 0.014 0.818
0.695 0.514 0.500
0.805 0.305 0.818
0.986 0.805 0.500
```

Values from the calculation:
total magnetization = 0.00 μB/cell
calculated total energy = -5.941 eV per atom

Record 2
Below is a relaxed Li4AcIn2Hg crystal, with properties calculated at the PBE level.

Geometry as POSCAR:
```
Li4AcIn2Hg
1.0
2.385 1.377 9.451
-2.385 1.377 9.451
0.000 -2.754 9.451
Li Ac In Hg
4 1 2 1
Direct
0.091 0.091 0.091
0.364 0.364 0.364
0.636 0.636 0.636
0.909 0.909 0.909
0.500 0.500 0.500
0.250 0.250 0.250
0.750 0.750 0.750
0.000 0.000 0.000
```

Values from the calculation:
D(E_F) = 5.694 states/eV/cell
total magnetization = 0.00 μB/cell
DFT formation energy = -0.2679 eV per atom